Entry 1:
A plane-wave DFT calculation with GGA-PBE was carried out for a relaxed Er6InSn crystal.

* E_form: -32.5 kJ per mole of atoms

Lattice parameters (Å, degrees): 4.7808 4.7808 9.5462 90.00 90.00 90.00
With the nearest neighbours (Å) after each atom.
Space group P4/mmm (No. 123)
Symmetry-distinct sites (fractional):
1 Er 0.0000 0.0000 0.0000 (multiplicity 1)  8 Er 3.37, 4 Sn 3.38
2 Er 0.0000 0.0000 0.5000 (multiplicity 1)  4 In 3.38, 8 Er 3.39
3 Er 0.0000 0.5000 0.2481 (multiplicity 4)  2 Sn 3.37, 8 Er 3.37-3.39, 2 In 3.39
4 In 0.5000 0.5000 0.5000 (multiplicity 1)  12 Er 3.38-3.39
5 Sn 0.5000 0.5000 0.0000 (multiplicity 1)  12 Er 3.37-3.38

Entry 2:
A plane-wave DFT calculation with GGA-PBE was carried out for a relaxed Ac2Ag17 crystal.

* E_form: -9.8 kJ per mole of atoms

Lattice parameters (Å, degrees): 9.7687 9.7687 14.3943 90.00 90.00 120.00
With the nearest neighbours (Å) after each atom.
Space group R-3m (No. 166, hexagonal axes)
Symmetry-distinct sites (fractional):
1 Ac 0.0000 0.0000 0.1600 (multiplicity 6)  19 Ag 3.45-3.77
2 Ag 0.0000 0.0000 0.4013 (multiplicity 6)  7 Ag 2.84-3.07
3 Ag 0.0000 0.2970 0.5000 (multiplicity 18)  8 Ag 2.82-2.99
4 Ag 0.0000 0.5000 0.0000 (multiplicity 9)  10 Ag 2.82-2.98
5 Ag 0.0023 0.5012 0.6529 (multiplicity 18)  9 Ag 2.83-3.07

Entry 3:
A plane-wave DFT calculation with GGA-PBE was carried out for a relaxed MgSiIr2Rh crystal.

* formation energy from raw total energies: 140.4 kJ per mole of atoms

Lattice parameters (Å, degrees): 4.4920 4.4920 4.3735 90.00 90.00 90.00
With the nearest neighbours (Å) after each atom.
Space group P4/mmm (No. 123)
Symmetry-distinct sites (fractional):
1 Mg 0.0000 0.0000 0.0000 (multiplicity 1)  2 Rh 2.19, 4 Ir 2.25
2 Si 0.5000 0.5000 0.5000 (multiplicity 1)  8 Ir 3.13, 4 Rh 3.18
3 Ir 0.0000 0.5000 0.0000 (multiplicity 2)  2 Mg 2.25
4 Rh 0.0000 0.0000 0.5000 (multiplicity 1)  2 Mg 2.19

Entry 4:
A plane-wave DFT calculation with GGA-PBE was carried out for a relaxed Zr2OsBr crystal.

* formation energy from raw total energies: -12.9 kJ per mole of atoms

Lattice parameters (Å, degrees): 3.2339 4.5776 5.4768 90.00 90.00 90.00
With the nearest neighbours (Å) after each atom.
Space group Pmmm (No. 47)
Symmetry-distinct sites (fractional):
1 Zr 0.0000 0.0000 0.0000 (multiplicity 1)  2 Os 2.74, 4 Br 2.80
2 Zr 0.5000 0.5000 0.5000 (multiplicity 1)  2 Br 2.74, 4 Os 2.80
3 Os 0.0000 0.0000 0.5000 (multiplicity 1)  6 Zr 2.74-2.80
4 Br 0.5000 0.5000 0.0000 (multiplicity 1)  6 Zr 2.74-2.80

Entry 5:
A plane-wave DFT calculation with GGA-PBE was carried out for a relaxed MnPd2Au5 crystal.

* E_form: -13.1 kJ per mole of atoms

Lattice parameters (Å, degrees): 5.7472 11.4886 4.1032 90.00 90.00 90.00
With the nearest neighbours (Å) after each atom.
Space group Pbam (No. 55)
Symmetry-distinct sites (fractional):
1 Mn 0.0000 0.0000 0.0000 (multiplicity 2)  8 Au 2.82-2.87, 4 Pd 2.87
2 Pd 0.2489 0.1221 0.5000 (multiplicity 4)  10 Au 2.81-2.95, 2 Mn 2.87
3 Au 0.0000 0.5000 0.0000 (multiplicity 2)  2 Mn 2.87, 4 Pd 2.87, 6 Au 2.89-2.93
4 Au 0.0038 0.2453 0.0000 (multiplicity 4)  1 Mn 2.82, 4 Pd 2.86-2.95, 7 Au 2.87-2.93
5 Au 0.2454 0.8774 0.5000 (multiplicity 4)  4 Pd 2.81-2.93, 2 Mn 2.86, 6 Au 2.87-2.93

Entry 6:
A plane-wave DFT calculation with GGA-PBE was carried out for a relaxed MgScPb3 crystal.

* E_form: 41.6 kJ per mole of atoms

Lattice parameters (Å, degrees): 5.4276 5.4276 5.4276 90.00 90.00 90.00
With the nearest neighbours (Å) after each atom.
Space group Pm-3m (No. 221)
Symmetry-distinct sites (fractional):
1 Mg 0.0000 0.0000 0.0000 (multiplicity 1)  6 Pb 2.71
2 Sc 0.5000 0.5000 0.5000 (multiplicity 1)  12 Pb 3.84
3 Pb 0.0000 0.0000 0.5000 (multiplicity 3)  2 Mg 2.71

Entry 7:
A plane-wave DFT calculation with GGA-PBE was carried out for a relaxed NiIrSe2 crystal.

* formation energy from raw total energies: 12.9 kJ per mole of atoms

Lattice parameters (Å, degrees): 6.3504 3.6236 6.1803 90.00 109.94 90.00
With the nearest neighbours (Å) after each atom.
Space group C2/m (No. 12)
Symmetry-distinct sites (fractional):
1 Ni 0.0000 0.0000 0.0000 (multiplicity 2)  6 Se 2.54-2.57
2 Ir 0.0000 0.5000 0.5000 (multiplicity 2)  6 Se 2.56
3 Se 0.2480 0.5000 0.2486 (multiplicity 4)  3 Ni 2.54-2.57, 3 Ir 2.56

Entry 8:
A plane-wave DFT calculation with GGA-PBE was carried out for a relaxed PmScAlGa crystal.

* E_form: -44.2 kJ per mole of atoms

Lattice parameters (Å, degrees): 7.0762 7.0762 7.0762 90.00 90.00 90.00
With the nearest neighbours (Å) after each atom.
Space group F-43m (No. 216)
Symmetry-distinct sites (fractional):
1 Pm 0.0000 0.0000 0.0000 (multiplicity 4)  4 Al 3.06, 4 Ga 3.06
2 Sc 0.0000 0.0000 0.5000 (multiplicity 4)  4 Al 3.06, 4 Ga 3.06
3 Al 0.2500 0.2500 0.7500 (multiplicity 4)  4 Pm 3.06, 4 Sc 3.06
4 Ga 0.2500 0.2500 0.2500 (multiplicity 4)  4 Pm 3.06, 4 Sc 3.06

VASP energy readings, ordered: -4.6016; -3.0856; -4.9626; -7.6332; -4.6287; -3.3793; -5.2686; -4.9207 eV/atom
N(E_F) readings, ordered: 7.9; 20.8; 5.4; 3.9; 6.3; 3.7; 7.3; 5.8 states/eV/cell